{"formula": "PmDyZr2", "functional": "PBE", "state": "relaxed", "lattice_angstrom": [[4.730, 0.000, 0.000], [0.000, 4.730, 0.000], [0.000, 0.000, 4.852]], "species": ["Pm", "Dy", "Zr", "Zr"], "frac_coords": [[0.000, 0.000, 0.000], [0.500, 0.500, 0.000], [0.000, 0.500, 0.500], [0.500, 0.000, 0.500]]}

{"formula": "PmDy2Zr", "functional": "PBE", "state": "relaxed", "lattice_angstrom": [[4.024, 0.000, 0.000], [0.000, 4.024, 0.000], [0.000, 0.000, 7.353]], "species": ["Pm", "Dy", "Dy", "Zr"], "frac_coords": [[0.000, 0.000, 0.000], [0.500, 0.500, 0.279], [0.500, 0.500, 0.721], [0.000, 0.000, 0.500]]}

{"formula": "PmDyZr", "functional": "PBE", "state": "relaxed", "lattice_angstrom": [[3.411, 0.000, 0.000], [0.000, 3.411, 0.000], [0.000, 0.000, 14.980]], "species": ["Pm", "Pm", "Dy", "Dy", "Zr", "Zr"], "frac_coords": [[0.000, 0.000, 0.000], [0.500, 0.500, 0.500], [0.000, 0.000, 0.688], [0.500, 0.500, 0.188], [0.000, 0.000, 0.340], [0.500, 0.500, 0.840]]}

Calculated volume in Å³/atom, matching the order above: 27.1, 29.8, 29.0
Calculated formation energy in eV/atom, matching the order above: 0.1568, 0.1734, 0.0975
Excess energy over the best structure of this formula in the dataset in meV/atom, matching the order above: 0.0, 90.6, 21.5